No. 1
5
Lattice="-0.436 4.787 1.189 -3.128 0.552 -3.369 -3.625 -1.120 3.182" Properties=species:S:1:pos:R:3 comment="AlSbW2Br | Alexandria via LeMat-Bulk | PBE-GGA | optimized geometry" sg=P4/mmm vol_a3_per_atom=22.7 raw_formation_energy_ev_per_atom=1.8205 pbc="T T T"
W -0.218 2.393 0.595
W -1.812 -0.560 1.591
Br -1.564 0.276 -1.684
Al 0.000 0.000 0.000
Sb -3.594 2.109 0.501



No. 2
4
Lattice="5.892 -0.010 0.000 3.070 5.029 0.000 -4.481 -2.509 2.888" Properties=species:S:1:pos:R:3 comment="Sc2AlBr | Alexandria via LeMat-Bulk | PBE-GGA | optimized geometry" sg=I-4m2 polymorph_energy_ev_per_atom=0.392 vol_a3_per_atom=21.4 raw_formation_energy_ev_per_atom=-0.2342 pbc="T T T"
Sc 0.000 0.000 0.000
Sc 1.535 2.514 1.444
Br 2.946 -0.005 1.444
Al 4.481 2.509 0.000



No. 3
4
Lattice="3.423 0.000 0.000 0.000 3.423 0.000 0.000 0.000 8.636" Properties=species:S:1:pos:R:3 comment="ScAlBr2 | Alexandria via LeMat-Bulk | PBE-GGA | optimized geometry" sg=P4mm polymorph_energy_ev_per_atom=0.051 vol_a3_per_atom=25.3 raw_formation_energy_ev_per_atom=-0.7398 pbc="T T T"
Al 1.712 1.712 6.253
Br 1.712 1.712 2.927
Br 0.000 0.000 7.903
Sc 0.000 0.000 4.507



No. 4
8
Lattice="5.805 0.000 0.000 0.000 5.805 0.000 2.903 2.903 7.134" Properties=species:S:1:pos:R:3 comment="Sc2AlBr | Alexandria via LeMat-Bulk | PBE-GGA | optimized geometry" sg=I-42d polymorph_energy_ev_per_atom=0.645 vol_a3_per_atom=30.1 raw_formation_energy_ev_per_atom=0.0194 pbc="T T T"
Al 2.903 5.805 3.567
Al 2.903 2.903 0.000
Sc 1.501 4.354 1.783
Sc 7.257 7.207 5.350
Sc 4.354 4.404 5.350
Sc 4.304 1.451 1.783
Br 0.000 0.000 0.000
Br 5.805 2.903 3.567



No. 5
4
Lattice="-5.265 -2.021 -0.434 -3.598 -4.082 1.548 -1.321 2.617 3.832" Properties=species:S:1:pos:R:3 comment="Sc2AlBr | Alexandria via LeMat-Bulk | PBE-GGA | optimized geometry" sg=Amm2 polymorph_energy_ev_per_atom=0.156 vol_a3_per_atom=21.6 raw_formation_energy_ev_per_atom=-0.4695 pbc="T T T"
Al -5.064 -2.164 2.011
Sc -2.748 -0.570 1.720
Sc -9.943 -3.760 4.457
Br -7.706 -2.220 4.176



No. 6
4
Lattice="7.644 0.090 -0.145 6.846 3.403 -0.145 1.060 0.256 4.884" Properties=species:S:1:pos:R:3 comment="ScAlBr2 | Alexandria via LeMat-Bulk | PBE-GGA | optimized geometry" sg=C2/m polymorph_energy_ev_per_atom=0.061 vol_a3_per_atom=31.1 raw_formation_energy_ev_per_atom=-0.7302 pbc="T T T"
Br 9.256 2.231 1.970
Br 13.010 3.136 0.037
Sc 3.888 0.937 1.148
Al 11.663 2.811 3.445



No. 7
4
Lattice="9.930 0.002 0.001 9.350 3.342 0.001 9.350 1.622 2.922" Properties=species:S:1:pos:R:3 comment="Sc2AlBr | Alexandria via LeMat-Bulk | PBE-GGA | optimized geometry" sg=R3m polymorph_energy_ev_per_atom=0.260 vol_a3_per_atom=24.2 raw_formation_energy_ev_per_atom=-0.3653 pbc="T T T"
Al 14.545 2.523 1.486
Sc 0.145 0.025 0.015
Sc 7.158 1.242 0.731
Br 21.099 3.660 2.155



No. 8
5
Lattice="5.556 0.000 0.000 0.000 5.556 0.000 0.000 0.000 5.556" Properties=species:S:1:pos:R:3 comment="ScAl3Br | Alexandria via LeMat-Bulk | PBE-GGA | optimized geometry" sg=Pm-3m polymorph_energy_ev_per_atom=0.112 vol_a3_per_atom=34.3 raw_formation_energy_ev_per_atom=0.8049 pbc="T T T"
Al 0.000 0.000 2.778
Al 2.778 0.000 0.000
Al 0.000 2.778 0.000
Br 2.778 2.778 2.778
Sc 0.000 0.000 0.000



No. 9
4
Lattice="-2.104 5.328 -1.652 -4.712 3.491 -1.070 -0.227 1.653 4.199" Properties=species:S:1:pos:R:3 comment="ScAl2Br | Alexandria via LeMat-Bulk | PBE-GGA | optimized geometry" sg=C2/m polymorph_energy_ev_per_atom=0.115 vol_a3_per_atom=20.9 raw_formation_energy_ev_per_atom=-0.2275 pbc="T T T"
Al -6.713 8.708 -2.610
Al -3.625 5.348 0.626
Sc -1.761 2.618 0.369
Br -5.283 7.854 1.108



No. 10
8
Lattice="6.998 0.000 0.000 0.000 6.998 0.000 3.499 3.499 6.032" Properties=species:S:1:pos:R:3 comment="ScAlBr2 | Alexandria via LeMat-Bulk | PBE-GGA | optimized geometry" sg=I-42d polymorph_energy_ev_per_atom=0.548 vol_a3_per_atom=36.9 raw_formation_energy_ev_per_atom=-0.2432 pbc="T T T"
Al 3.499 3.499 0.000
Al 3.499 6.998 3.016
Sc 6.998 3.499 3.016
Sc 0.000 0.000 0.000
Br 8.748 9.249 4.524
Br 1.248 5.249 1.508
Br 5.750 1.750 1.508
Br 5.249 4.747 4.524



No. 11
4
Lattice="-6.270 -2.672 3.065 -3.994 -2.673 5.723 -2.635 3.805 2.258" Properties=species:S:1:pos:R:3 comment="ScAlBr2 | Alexandria via LeMat-Bulk | PBE-GGA | optimized geometry" sg=Imm2 polymorph_energy_ev_per_atom=0.020 vol_a3_per_atom=30.6 raw_formation_energy_ev_per_atom=-0.7707 pbc="T T T"
Al -0.519 0.749 0.445
Br -11.421 -0.920 9.780
Br -3.239 1.924 2.774
Sc -6.805 -0.255 5.828



No. 12
4
Lattice="9.775 0.046 0.027 9.111 3.540 0.027 9.111 1.730 3.088" Properties=species:S:1:pos:R:3 comment="ScAlBr2 | Alexandria via LeMat-Bulk | PBE-GGA | optimized geometry" sg=R3m polymorph_energy_ev_per_atom=0.000 vol_a3_per_atom=26.2 raw_formation_energy_ev_per_atom=-0.7912 pbc="T T T"
Sc 13.907 2.640 1.561
Br 6.296 1.195 0.707
Br 0.688 0.131 0.077
Al 21.105 4.007 2.369



No. 13
4
Lattice="9.121 0.006 0.004 8.519 3.258 0.004 8.519 1.577 2.851" Properties=species:S:1:pos:R:3 comment="ScAl2Br | Alexandria via LeMat-Bulk | PBE-GGA | optimized geometry" sg=R-3m polymorph_energy_ev_per_atom=0.230 vol_a3_per_atom=21.1 raw_formation_energy_ev_per_atom=-0.1122 pbc="T T T"
Br 6.540 1.210 0.715
Sc 19.620 3.631 2.144
Al 13.109 2.426 1.433
Al 26.131 4.836 2.856



No. 14
11
Lattice="-2.797 2.609 -5.275 4.228 -4.576 -5.400 -4.827 -6.501 -1.551" Properties=species:S:1:pos:R:3 comment="ScAl2Br8 | Alexandria via LeMat-Bulk | PBE-GGA | optimized geometry" sg=C2/m vol_a3_per_atom=38.6 raw_formation_energy_ev_per_atom=-1.2006 pbc="T T T"
Br -0.871 -3.371 -3.735
Br -2.131 -0.105 -5.065
Br 1.881 -5.381 -6.610
Br -2.526 -5.097 -8.491
Br -1.266 -8.363 -7.162
Br -5.278 -3.087 -5.616
Br 0.509 -1.856 -8.076
Br -3.905 -6.612 -4.151
Al -1.108 -1.174 -3.193
Al -2.289 -7.294 -9.033
Sc 0.000 0.000 0.000



No. 15
4
Lattice="3.472 0.000 0.000 0.000 5.894 0.000 0.000 0.000 4.552" Properties=species:S:1:pos:R:3 comment="ScAlBr2 | Alexandria via LeMat-Bulk | PBE-GGA | optimized geometry" sg=Pmmm polymorph_energy_ev_per_atom=0.324 vol_a3_per_atom=23.3 raw_formation_energy_ev_per_atom=-0.4669 pbc="T T T"
Br 0.000 0.000 0.000
Br 1.736 2.947 0.000
Al 0.000 2.947 2.276
Sc 1.736 0.000 2.276



No. 16
4
Lattice="1.978 -4.411 1.201 0.986 -1.074 4.763 -2.745 -3.388 2.409" Properties=species:S:1:pos:R:3 comment="Sc2AlBr | Alexandria via LeMat-Bulk | PBE-GGA | optimized geometry" sg=Fm-3m polymorph_energy_ev_per_atom=0.362 vol_a3_per_atom=21.9 raw_formation_energy_ev_per_atom=-0.2640 pbc="T T T"
Sc 0.165 -6.655 6.280
Sc 0.055 -2.218 2.093
Al 0.000 0.000 0.000
Br 0.110 -4.436 4.187



No. 17
4
Lattice="3.582 -0.021 0.000 -1.851 3.066 0.000 0.000 0.000 9.988" Properties=species:S:1:pos:R:3 comment="ScAlBr2 | Alexandria via LeMat-Bulk | PBE-GGA | optimized geometry" sg=Cmmm polymorph_energy_ev_per_atom=0.256 vol_a3_per_atom=27.3 raw_formation_energy_ev_per_atom=-0.5352 pbc="T T T"
Sc 0.865 1.523 2.497
Br 0.000 0.000 0.460
Br 0.000 0.000 4.534
Al 0.865 1.523 7.491



No. 18
4
Lattice="5.813 0.000 0.000 0.000 3.825 0.000 0.000 0.000 3.825" Properties=species:S:1:pos:R:3 comment="ScAl2Br | Alexandria via LeMat-Bulk | PBE-GGA | optimized geometry" sg=P4/mmm polymorph_energy_ev_per_atom=0.192 vol_a3_per_atom=21.3 raw_formation_energy_ev_per_atom=-0.1511 pbc="T T T"
Br 2.907 1.912 0.000
Al 0.000 0.000 0.000
Al 0.000 1.912 1.912
Sc 2.907 0.000 1.912



No. 19
4
Lattice="5.148 0.023 0.000 1.165 5.014 0.000 -3.157 -2.519 3.193" Properties=species:S:1:pos:R:3 comment="ScAl2Br | Alexandria via LeMat-Bulk | PBE-GGA | optimized geometry" sg=I-4m2 polymorph_energy_ev_per_atom=0.288 vol_a3_per_atom=20.6 raw_formation_energy_ev_per_atom=-0.0546 pbc="T T T"
Br 3.157 2.519 0.000
Al 0.583 2.507 1.597
Al 0.000 0.000 0.000
Sc 2.574 0.011 1.597



No. 20
4
Lattice="3.267 0.004 0.000 -0.003 3.267 0.000 0.000 0.000 7.974" Properties=species:S:1:pos:R:3 comment="Sc2AlBr | Alexandria via LeMat-Bulk | PBE-GGA | optimized geometry" sg=P4/mmm polymorph_energy_ev_per_atom=0.094 vol_a3_per_atom=21.3 raw_formation_energy_ev_per_atom=-0.5317 pbc="T T T"
Br 1.632 1.636 5.981
Sc 0.000 0.000 0.177
Sc 0.000 0.000 3.810
Al 1.632 1.636 1.994



No. 21
4
Lattice="-0.102 -1.769 3.052 3.187 0.875 -1.237 -0.431 8.557 4.945" Properties=species:S:1:pos:R:3 comment="ScAlBr2 | Alexandria via LeMat-Bulk | PBE-GGA | optimized geometry" sg=Cmm2 polymorph_energy_ev_per_atom=0.127 vol_a3_per_atom=27.4 raw_formation_energy_ev_per_atom=-0.6641 pbc="T T T"
Br 1.403 2.322 2.507
Br -0.397 7.884 4.555
Al 1.225 5.866 4.555
Sc -0.223 4.429 2.559



No. 22
4
Lattice="2.766 -1.956 3.800 -2.200 -3.024 3.455 1.065 -4.978 0.073" Properties=species:S:1:pos:R:3 comment="ScAlBr2 | Alexandria via LeMat-Bulk | PBE-GGA | optimized geometry" sg=Fm-3m polymorph_energy_ev_per_atom=0.458 vol_a3_per_atom=23.3 raw_formation_energy_ev_per_atom=-0.3331 pbc="T T T"
Al 0.000 0.000 0.000
Br 1.224 -7.468 5.496
Br 0.408 -2.489 1.832
Sc 0.816 -4.979 3.664



No. 23
3
Lattice="-2.034 -0.972 -4.077 -1.381 -4.350 -0.936 -4.544 -1.020 -0.152" Properties=species:S:1:pos:R:3 comment="ScAlBr | Alexandria via LeMat-Bulk | PBE-GGA | optimized geometry" sg=F-43m vol_a3_per_atom=23.8 raw_formation_energy_ev_per_atom=0.1634 pbc="T T T"
Sc 0.000 0.000 0.000
Al -3.979 -3.171 -2.582
Br -5.969 -4.757 -3.873



No. 24
4
Lattice="3.230 0.013 0.000 -0.013 3.230 0.000 0.000 0.000 8.900" Properties=species:S:1:pos:R:3 comment="ScAl2Br | Alexandria via LeMat-Bulk | PBE-GGA | optimized geometry" sg=P4mm polymorph_energy_ev_per_atom=0.000 vol_a3_per_atom=23.2 raw_formation_energy_ev_per_atom=-0.3427 pbc="T T T"
Al 0.000 0.000 8.764
Al 1.608 1.622 1.557
Sc 1.608 1.622 6.818
Br 0.000 0.000 5.112



No. 25
4
Lattice="5.211 0.013 -0.018 -0.118 5.210 -0.018 0.344 0.352 3.168" Properties=species:S:1:pos:R:3 comment="Sc2AlBr | Alexandria via LeMat-Bulk | PBE-GGA | optimized geometry" sg=C2/m polymorph_energy_ev_per_atom=0.220 vol_a3_per_atom=21.5 raw_formation_energy_ev_per_atom=-0.4057 pbc="T T T"
Sc 0.000 0.000 0.000
Sc 2.546 2.611 -0.018
Al 2.777 0.183 1.575
Br 0.113 2.781 1.575



No. 26
4
Lattice="5.437 -0.009 0.002 1.044 5.335 -0.002 -2.283 -3.828 3.113" Properties=species:S:1:pos:R:3 comment="Sc2AlBr | Alexandria via LeMat-Bulk | PBE-GGA | optimized geometry" sg=Immm polymorph_energy_ev_per_atom=0.300 vol_a3_per_atom=22.6 raw_formation_energy_ev_per_atom=-0.3256 pbc="T T T"
Sc 3.319 2.728 0.000
Sc 6.402 5.262 0.000
Br 3.197 -0.587 1.558
Al 1.001 2.086 1.556



No. 27
4
Lattice="5.196 0.000 0.000 2.598 4.500 0.000 2.598 1.500 4.242" Properties=species:S:1:pos:R:3 comment="ScAlBr2 | Alexandria via LeMat-Bulk | PBE-GGA | optimized geometry" sg=F-43m polymorph_energy_ev_per_atom=0.742 vol_a3_per_atom=24.8 raw_formation_energy_ev_per_atom=-0.0492 pbc="T T T"
Br 2.598 1.500 1.061
Br 0.000 0.000 0.000
Sc 7.794 4.500 3.182
Al 5.196 3.000 2.121



No. 28
5
Lattice="-1.456 4.138 2.245 0.492 -2.204 4.380 4.682 1.519 0.238" Properties=species:S:1:pos:R:3 comment="Sc3AlBr | Alexandria via LeMat-Bulk | PBE-GGA | optimized geometry" sg=Pm-3m polymorph_energy_ev_per_atom=0.000 vol_a3_per_atom=23.9 raw_formation_energy_ev_per_atom=-0.0566 pbc="T T T"
Sc -0.728 2.069 1.123
Sc 2.341 0.759 0.119
Sc 0.246 -1.102 2.190
Al 1.859 1.727 3.432
Br 0.000 0.000 0.000



No. 29
4
Lattice="5.157 0.142 0.000 -0.760 5.103 0.000 0.000 0.000 3.230" Properties=species:S:1:pos:R:3 comment="ScAl2Br | Alexandria via LeMat-Bulk | PBE-GGA | optimized geometry" sg=Cmmm polymorph_energy_ev_per_atom=0.239 vol_a3_per_atom=21.3 raw_formation_energy_ev_per_atom=-0.1038 pbc="T T T"
Al 0.000 0.000 0.000
Al 2.199 2.623 0.000
Br 2.579 0.071 1.615
Sc -0.380 2.552 1.615



No. 30
4
Lattice="-3.961 5.514 -0.479 -6.751 0.831 0.248 5.957 -2.069 2.561" Properties=species:S:1:pos:R:3 comment="ScAl2Br | Alexandria via LeMat-Bulk | PBE-GGA | optimized geometry" sg=Immm polymorph_energy_ev_per_atom=0.141 vol_a3_per_atom=22.2 raw_formation_energy_ev_per_atom=-0.2018 pbc="T T T"
Br -1.680 3.309 0.983
Sc -3.075 0.968 1.347
Al -0.369 0.219 -0.008
Al -4.987 2.954 -0.107